[1]
KHf2Pt2 (GGA-PBE, relaxed); density of states at the Fermi level = 0.94 states/eV per atom; DFT total energy = -7.1806 eV per atom; DFT formation energy = -0.5634 eV/atom; SG = I4/mmm; crystal system = tetragonal; offset from the most stable computed form = 0 meV per atom
1.0
4.655 0.000 0.000
0.000 4.655 0.000
2.327 2.327 5.486
K Pt Hf
1 2 2
direct
0.000 0.000 0.000
0.627 0.627 0.747
0.373 0.373 0.253
0.250 0.750 0.500
0.750 0.250 0.500


[2]
Na4HgRh3O8 (GGA-PBE, relaxed); density of states at the Fermi level = 0.42 states/eV per atom; DFT total energy = -5.2023 eV per atom; SG = R-3m; crystal system = trigonal
1.0
6.507 0.000 0.000
0.000 6.453 -0.041
-3.253 -3.250 4.604
Na O Rh Hg
4 8 3 1
direct
0.000 0.000 0.000
0.000 0.000 0.500
0.500 0.000 0.000
0.500 0.000 0.500
0.747 0.295 0.048
0.268 0.304 0.536
0.253 0.705 0.952
0.698 0.705 0.952
0.747 0.295 0.493
0.732 0.696 0.464
0.253 0.705 0.507
0.302 0.295 0.048
0.000 0.500 0.500
0.500 0.500 0.500
0.500 0.500 0.000
0.000 0.500 0.000


[3]
K3PaI7 (GGA-PBE, relaxed); density of states at the Fermi level = 0.12 states/eV per atom; DFT total energy = -3.3505 eV per atom; SG = Cm; crystal system = monoclinic
1.0
7.457 0.331 3.754
-1.392 7.333 3.754
-0.229 -0.289 9.294
I K Pa
7 3 1
direct
0.627 0.140 0.210
0.140 0.627 0.210
0.143 0.143 0.156
0.321 0.977 0.736
0.807 0.807 0.864
0.643 0.643 0.419
0.977 0.321 0.736
0.781 0.226 0.489
0.510 0.510 0.896
0.226 0.781 0.489
0.951 0.951 0.045


[4]
Cs3BaMn (GGA-PBE, relaxed); density of states at the Fermi level = 2.77 states/eV per atom; DFT total energy = -1.8381 eV per atom; DFT formation energy = 0.8925 eV/atom; SG = Pm-3m; crystal system = cubic
1.0
6.521 0.000 0.000
0.000 6.521 0.000
0.000 0.000 6.521
Mn Cs Ba
1 3 1
direct
0.000 0.000 0.000
0.500 0.000 0.000
0.000 0.000 0.500
0.000 0.500 0.000
0.500 0.500 0.500


[5]
Ca4ThPd5 (GGA-PBE, relaxed); density of states at the Fermi level = 0.45 states/eV per atom; DFT total energy = -4.8265 eV per atom; DFT formation energy = -0.6874 eV/atom; SG = P4/mmm; crystal system = tetragonal
1.0
-3.056 0.055 1.890
-1.206 -2.822 -1.868
7.173 -10.954 11.916
Pd Th Ca
5 1 4
direct
0.500 0.500 0.092
0.500 0.500 0.305
0.500 0.500 0.695
0.500 0.500 0.500
0.500 0.500 0.908
0.000 0.000 0.000
0.000 0.000 0.208
0.000 0.000 0.403
0.000 0.000 0.792
0.000 0.000 0.597


[6]
UCrP (GGA-PBE, relaxed); density of states at the Fermi level = 1.29 states/eV per atom; DFT total energy = -9.4211 eV per atom; DFT formation energy = -0.6473 eV/atom; SG = P-1; crystal system = triclinic
1.0
3.691 -0.023 0.047
-0.020 3.647 0.222
0.075 -1.516 6.784
Cr P U
2 2 2
direct
0.277 0.292 0.503
0.723 0.708 0.497
0.765 0.275 0.715
0.235 0.725 0.285
0.254 0.829 0.891
0.746 0.171 0.109


[7]
CaIrF2 (GGA-PBE, relaxed); density of states at the Fermi level = 0.83 states/eV per atom; DFT total energy = -4.6486 eV per atom; SG = Fm-3m; crystal system = cubic; offset from the most stable computed form = 618 meV per atom
1.0
0.000 3.102 3.102
3.102 0.000 3.102
3.102 3.102 0.000
F Ca Ir
2 1 1
direct
0.750 0.750 0.750
0.250 0.250 0.250
0.000 0.000 0.000
0.500 0.500 0.500


[8]
PuCu2SbO8 (GGA-PBE, relaxed); density of states at the Fermi level = 0.61 states/eV per atom; DFT total energy = -6.7202 eV per atom; SG = I-4m2; crystal system = tetragonal
1.0
-4.712 -3.276 0.456
3.750 -3.207 -2.965
2.073 1.495 5.159
Sb O Cu Pu
1 8 2 1
direct
0.000 0.000 0.000
0.355 0.047 0.308
0.286 0.095 0.809
0.286 0.477 0.191
0.738 0.047 0.692
0.953 0.262 0.308
0.905 0.714 0.191
0.523 0.714 0.809
0.953 0.645 0.692
0.500 0.500 0.000
0.750 0.250 0.500
0.250 0.750 0.500


[9]
Tb2SnHg (GGA-PBE, relaxed); density of states at the Fermi level = 0.81 states/eV per atom; DFT total energy = -3.9702 eV per atom; DFT formation energy = -0.5789 eV/atom; SG = P4/mmm; crystal system = tetragonal
1.0
3.922 0.000 0.000
0.000 5.197 0.000
0.000 0.000 5.197
Sn Hg Tb
1 1 2
direct
0.500 0.000 0.000
0.500 0.500 0.500
0.000 0.000 0.500
0.000 0.500 0.000


[10]
LaPuB (GGA-PBE, relaxed); density of states at the Fermi level = 2.01 states/eV per atom; DFT total energy = -8.5974 eV per atom; DFT formation energy = 0.0482 eV/atom; SG = C2/m; crystal system = monoclinic
1.0
-0.886 1.474 -3.645
-4.813 -3.907 1.819
0.049 5.555 2.234
Pu La B
2 2 2
direct
0.000 0.999 0.762
0.000 0.001 0.238
0.715 0.431 0.716
0.285 0.569 0.284
0.416 0.833 0.917
0.584 0.167 0.083


[11]
AcNdGdTm (GGA-PBE, relaxed); density of states at the Fermi level = 2.01 states/eV per atom; DFT total energy = -6.7087 eV per atom; DFT formation energy = 0.1484 eV/atom; SG = F-43m; crystal system = cubic
1.0
5.874 0.000 0.000
2.937 5.087 0.000
2.937 1.696 4.796
Nd Tm Ac Gd
1 1 1 1
direct
0.250 0.250 0.250
0.000 0.000 0.000
0.500 0.500 0.500
0.750 0.750 0.750


[12]
K2TaTi (GGA-PBE, relaxed); density of states at the Fermi level = 1.20 states/eV per atom; DFT total energy = -3.8413 eV per atom; DFT formation energy = 1.6444 eV/atom; SG = I-42d; crystal system = tetragonal; offset from the most stable computed form = 0 meV per atom
1.0
12.792 0.000 0.000
0.000 12.792 0.000
6.396 6.396 2.340
K Ta Ti
4 2 2
direct
0.271 0.625 0.250
0.875 0.729 0.750
0.375 0.521 0.750
0.479 0.125 0.250
0.000 0.000 0.000
0.750 0.250 0.500
0.500 0.500 0.000
0.250 0.750 0.500


- Look up the DFT total energy of the eighth one.
  -6.7202 eV per atom